Density functional theory data (PBE) for crystalline YTcOs2 at its relaxed geometry.

a b c (Å): 3.0972 4.6405 4.6552
angles (deg): 90.00 90.00 90.00
Closest atoms and distances in Å follow each position.
Sites, in units of the cell vectors:
Y1 0.0000 0.0000 0.0000  4 Os 2.79, 4 Tc 2.80, 2 Y 3.10
Tc1 0.5000 0.0000 0.5000  4 Os 2.79, 4 Y 2.80, 2 Tc 3.10
Os1 0.0000 0.5000 0.5000  4 Tc 2.79, 6 Os 2.80-3.10
Os2 0.5000 0.5000 0.0000  4 Y 2.79, 6 Os 2.80-3.10

## Properties
- DFT formation energy (eV per atom) = 0.402
- ρ (g/cm³) = 14.08
- energy relative to the lowest polymorph listed for this composition (eV per atom) = 0.2258
- N(E_F) (states/eV/cell) = 4.2